# 1
# Ac7Nd12Er

A relaxed structure of Ac7Nd12Er (GGA-PBE, the Alexandria database).

Structure (POSCAR):
```
Ac7Nd12Er
1.0
-9.2258 1.2919 -4.9264
7.8315 3.0753 -6.3455
1.2685 -10.1652 2.4729
Ac Nd Er
7 12 1
direct
0.5000 0.5000 0.0000 Ac
0.0000 0.5000 0.5000 Ac
0.5000 0.0000 0.5000 Ac
0.5000 0.5000 0.5000 Ac
0.0000 0.0000 0.5000 Ac
0.5000 0.0000 0.0000 Ac
0.0000 0.5000 0.0000 Ac
0.4361 0.6782 0.7580 Nd
0.9202 0.6782 0.2420 Nd
0.5639 0.3218 0.2420 Nd
0.0798 0.3218 0.7580 Nd
0.7580 0.0798 0.3218 Nd
0.7580 0.4361 0.6782 Nd
0.2420 0.9202 0.6782 Nd
0.2420 0.5639 0.3218 Nd
0.6782 0.7580 0.4361 Nd
0.3218 0.2420 0.5639 Nd
0.6782 0.2420 0.9202 Nd
0.3218 0.7580 0.0798 Nd
0.0000 0.0000 0.0000 Er
```

Values from the calculation:
The magnetization is 0.00 μB/f.u.

# 2
# Ac8Nd3Er

A relaxed structure of Ac8Nd3Er (GGA-PBE, the Alexandria database).

Structure (POSCAR):
```
Ac8Nd3Er
1.0
8.2481 -0.7189 -4.0470
-4.8732 7.7464 -1.0823
-0.4523 0.7190 9.1763
Ac Nd Er
8 3 1
direct
0.4956 0.2402 0.2402 Ac
0.5044 0.7446 0.7446 Ac
0.0000 0.7598 0.2554 Ac
0.0000 0.2554 0.7598 Ac
0.2622 0.3760 0.3760 Ac
0.7378 0.1138 0.1138 Ac
0.0000 0.6240 0.8862 Ac
0.0000 0.8862 0.6240 Ac
0.5000 0.7500 0.2500 Nd
0.5000 0.2500 0.7500 Nd
0.0000 0.5000 0.5000 Nd
0.0000 0.0000 0.0000 Er
```

Values from the calculation:
The magnetization is 0.04 μB/f.u.

# 3
# AcNd2Er

A relaxed structure of AcNd2Er (GGA-PBE, the Alexandria database).

Structure (POSCAR):
```
AcNd2Er
1.0
-3.5751 -1.0930 0.0864
0.7138 -2.5438 -2.6463
2.3165 -6.9961 7.3501
Ac Nd Er
1 2 1
direct
0.5000 0.5000 0.5000 Ac
0.0000 0.0000 0.7650 Nd
0.0000 0.0000 0.2350 Nd
0.5000 0.5000 0.0000 Er
```

Values from the calculation:
The magnetization is 0.00 μB/f.u.

# 4
# Ac2Nd3Er

A relaxed structure of Ac2Nd3Er (GGA-PBE, the Alexandria database).

Structure (POSCAR):
```
Ac2Nd3Er
1.0
5.2018 0.0009 -1.1659
-0.6795 11.4053 -3.0466
-0.9008 -1.5300 8.2048
Ac Nd Er
4 6 2
direct
0.5360 0.8689 0.0722 Ac
0.4640 0.1311 0.9278 Ac
0.2084 0.8692 0.4171 Ac
0.7916 0.1308 0.5829 Ac
0.0466 0.3824 0.0931 Nd
0.9534 0.6176 0.9069 Nd
0.7094 0.3785 0.4188 Nd
0.2906 0.6215 0.5812 Nd
0.6249 0.6201 0.2498 Nd
0.3751 0.3799 0.7502 Nd
0.1259 0.1301 0.2517 Er
0.8741 0.8699 0.7483 Er
```

Values from the calculation:
The magnetization is 0.00 μB/f.u.

| no. | DFT total energy (eV/cell) | energy relative to the elements (eV per atom) | volume (A^3/atom) |
| --- | --- | --- | --- |
| 1 | -74.34 | 0.810 | 45.05 |
| 2 | -44.70 | 0.587 | 46.68 |
| 3 | -18.03 | 0.043 | 36.39 |
| 4 | -53.71 | 0.038 | 37.45 |